#i
DFT (PBE-GGA) results for a relaxed Tl2RuPt crystal.

calculated volume: 19.5 Å³ per atom

Cell: 6.7852 6.7852 6.7852 Å, 90.00 90.00 90.00°
Space group F-43m (No. 216)
Unique sites:
Tl: 0.0000 0.0000 0.0000
Tl: 0.2500 0.2500 0.2500
Ru: 0.2500 0.2500 0.7500
Pt: 0.0000 0.0000 0.5000

=====

#ii
DFT (PBE-GGA) results for a relaxed Tl2RuPt crystal.

calculated volume: 19.6 Å³ per atom

Cell: 3.1191 4.3347 5.8002 Å, 90.00 90.00 90.00°
Space group Pmm2 (No. 25)
Unique sites:
Tl: 0.0000 0.0000 0.0000
Tl: 0.5000 0.5000 0.3511
Ru: 0.5000 0.5000 0.8449
Pt: 0.0000 0.0000 0.5279

=====

#iii
DFT (PBE-GGA) results for a relaxed Tl2RuPt crystal.

calculated volume: 21.3 Å³ per atom

Cell: 4.2693 4.2693 18.7117 Å, 90.00 90.00 90.00°
Space group I-42d (No. 122)
Unique sites:
Tl: 0.2438 0.2500 0.1250
Ru: 0.0000 0.0000 0.0000
Pt: 0.0000 0.0000 0.5000

=====

#iv
DFT (PBE-GGA) results for a relaxed Tl2RuPt crystal.

calculated volume: 18.7 Å³ per atom

Cell: 3.4056 3.4056 6.4587 Å, 90.00 90.00 90.00°
Space group P4/mmm (No. 123)
Unique sites:
Tl: 0.0000 0.0000 0.2436
Ru: 0.5000 0.5000 0.0000
Pt: 0.5000 0.5000 0.5000

=====

Which of them is the most stable? Correct choice: #iv.

=====

#i
DFT (PBE-GGA) results for a relaxed Tl2RuPt crystal.

calculated volume: 18.8 Å³ per atom

Cell: 6.6972 6.6972 6.6972 Å, 90.00 90.00 90.00°
Space group Fm-3m (No. 225)
Unique sites:
Tl: 0.2500 0.2500 0.2500
Ru: 0.0000 0.0000 0.0000
Pt: 0.0000 0.0000 0.5000

=====

#ii
DFT (PBE-GGA) results for a relaxed Tl2RuPt crystal.

calculated volume: 20.7 Å³ per atom

Cell: 3.0451 4.5446 11.9718 Å, 90.00 90.00 90.00°
Space group Imm2 (No. 44)
Unique sites:
Tl: 0.0000 0.0000 0.0000
Tl: 0.0000 0.5000 0.2191
Ru: 0.0000 0.0000 0.5109
Pt: 0.0000 0.5000 0.8227

=====

#iii
DFT (PBE-GGA) results for a relaxed Tl2RuPt crystal.

calculated volume: 21.4 Å³ per atom

Cell: 3.2801 3.2801 7.9695 Å, 90.00 90.00 90.00°
Space group P4mm (No. 99)
Unique sites:
Tl: 0.0000 0.0000 0.0000
Tl: 0.5000 0.5000 0.3449
Ru: 0.5000 0.5000 0.7561
Pt: 0.0000 0.0000 0.6021

=====

Which of them is the most stable? Correct choice: #ii.

=====

#i
DFT (PBE-GGA) results for a relaxed Tm6Ru2Pt crystal.

calculated volume: 24.8 Å³ per atom

Cell: 6.5172 7.3262 11.1903 Å, 90.00 123.46 90.00°
Space group P2_1/c (No. 14)
Unique sites:
Tm: 0.0734 0.0524 0.2378
Tm: 0.2210 0.6755 0.0734
Tm: 0.3947 0.1666 0.0683
Ru: 0.3012 0.1194 0.7655
Pt: 0.5000 0.0000 0.5000

=====

#ii
DFT (PBE-GGA) results for a relaxed Tm6Ru2Pt crystal.

calculated volume: 23.5 Å³ per atom

Cell: 9.2545 9.2741 9.8563 Å, 90.00 90.00 90.00°
Space group Immm (No. 71)
Unique sites:
Tm: 0.0000 0.1907 0.2453
Tm: 0.1881 0.5000 0.3313
Tm: 0.2342 0.3223 0.0000
Ru: 0.0000 0.3292 0.5000
Ru: 0.0000 0.5000 0.1244
Pt: 0.0000 0.0000 0.0000
Pt: 0.0000 0.0000 0.5000

=====

Which of them is the most stable? Correct choice: #ii.

=====

#i
DFT (PBE-GGA) results for a relaxed VRuPt3 crystal.

calculated volume: 19.2 Å³ per atom

Cell: 4.5781 4.5781 4.5781 Å, 90.00 90.00 90.00°
Space group Pm-3m (No. 221)
Unique sites:
V: 0.0000 0.0000 0.0000
Ru: 0.5000 0.5000 0.5000
Pt: 0.0000 0.0000 0.5000

=====

#ii
DFT (PBE-GGA) results for a relaxed VRuPt3 crystal.

calculated volume: 14.8 Å³ per atom

Cell: 3.8392 4.7950 8.7682 Å, 90.30 90.03 113.60°
Space group P-1 (No. 2)
Unique sites:
V: 0.0485 0.0959 0.3393
Ru: 0.4559 0.9128 0.1573
Pt: 0.1484 0.2962 0.0582
Pt: 0.2496 0.4999 0.7495
Pt: 0.3575 0.7136 0.4476

=====

Which of them is the most stable? Correct choice: #ii.

=====

#i
DFT (PBE-GGA) results for a relaxed V2Ru2Pt crystal.

calculated volume: 14.4 Å³ per atom

Cell: 7.1335 7.1335 2.8374 Å, 90.00 90.00 90.00°
Space group P4/mbm (No. 127)
Unique sites:
V: 0.1470 0.3530 0.0000
Ru: 0.1499 0.6499 0.5000
Pt: 0.0000 0.0000 0.0000

=====

#ii
DFT (PBE-GGA) results for a relaxed V2Ru2Pt crystal.

calculated volume: 14.1 Å³ per atom

Cell: 8.4120 3.9150 5.7304 Å, 90.00 131.65 90.00°
Space group C2/m (No. 12)
Unique sites:
V: 0.0901 0.0000 0.2808
Ru: 0.2060 0.5000 0.1286
Pt: 0.0000 0.5000 0.5000

=====

Which of them is the most stable? Correct choice: #ii.